An optimized crystal structure of K2LiNbO4, computed with PBE.

extended XYZ file:
```
16
Lattice="5.823 0.000 0.000 0.000 5.823 0.000 0.000 0.000 8.154" Properties=species:S:1:pos:R:3 pbc="T T T"
K 0.000 0.000 0.000
K 0.000 2.912 2.039
K 2.912 0.000 6.116
K 2.912 2.912 4.077
Li 0.000 0.000 4.077
Li 2.912 2.912 0.000
Nb 0.000 2.912 6.116
Nb 2.912 0.000 2.039
O 0.815 4.250 5.071
O 1.339 2.097 7.161
O 1.573 0.815 3.084
O 2.097 4.485 0.993
O 3.727 1.339 0.993
O 4.250 5.008 3.084
O 4.485 3.727 7.161
O 5.008 1.573 5.071
```

ρ: 2.9 g/cm3
Raw total energy: -103.5 eV for the cell shown
E_form (uncorrected): -2219 meV/atom
Fermi-level density of states: 0.0 states/eV per cell
ΔE to the lowest computed polymorph: 0.0000 eV per atom

***

An optimized crystal structure of IrAu2CO, computed with PBE.

extended XYZ file:
```
5
Lattice="5.286 0.000 0.000 0.000 5.286 0.000 0.000 0.000 2.744" Properties=species:S:1:pos:R:3 pbc="T T T"
Ir 0.000 0.000 0.000
Au 0.000 2.643 1.372
Au 2.643 0.000 1.372
C 2.643 2.643 0.000
O 2.643 2.643 1.372
```

ρ: 13.3 g/cm3
Raw total energy: -22.4 eV for the cell shown
E_form (uncorrected): 1436 meV/atom
Fermi-level density of states: 2.4 states/eV per cell

***

An optimized crystal structure of SmTl2Rh, computed with PBE.

extended XYZ file:
```
12
Lattice="3.389 0.000 0.000 -1.695 2.935 0.000 0.000 0.000 31.548" Properties=species:S:1:pos:R:3 pbc="T T T"
Sm 0.000 0.000 0.000
Sm 0.000 1.957 21.032
Sm 1.695 0.978 10.516
Tl 0.000 0.000 3.217
Tl 0.000 0.000 28.331
Tl 0.000 1.957 17.815
Tl 0.000 1.957 24.249
Tl 1.695 0.978 7.299
Tl 1.695 0.978 13.733
Rh 0.000 0.000 15.774
Rh 0.000 1.957 5.258
Rh 1.695 0.978 26.290
```

ρ: 10.5 g/cm3
Raw total energy: -47.9 eV for the cell shown
Fermi-level density of states: 12.5 states/eV per cell
ΔE_f: 0.853 eV/f.u.